! TaMnSbO6 (PBE with a Hubbard U, relaxed); values from VASP
&SYSTEM
  ibrav = 0, nat = 18, ntyp = 4
/
ATOMIC_SPECIES
Ta 180.95 Ta.upf
Mn 54.94 Mn.upf
Sb 121.76 Sb.upf
O 16.00 O.upf
ATOMIC_POSITIONS crystal
Ta 0.333 0.667 0.250
Ta 0.667 0.333 0.750
Mn 0.000 0.000 0.000
Mn 0.000 0.000 0.500
Sb 0.333 0.667 0.750
Sb 0.667 0.333 0.250
O 0.000 0.359 0.135
O 0.000 0.359 0.635
O 0.000 0.641 0.365
O 0.000 0.641 0.865
O 0.359 0.000 0.135
O 0.359 0.000 0.635
O 0.359 0.359 0.365
O 0.359 0.359 0.865
O 0.641 0.000 0.365
O 0.641 0.000 0.865
O 0.641 0.641 0.135
O 0.641 0.641 0.635
CELL_PARAMETERS angstrom
5.292 0.000 0.000
-2.646 4.583 0.000
0.000 0.000 9.426
! Total magnetic moment: 10.00 Bohr magnetons per cell
! Total energy: -7.912 eV per atom
! Crystal system: trigonal
! V: 228.60 Å³/cell